# MgB2AsO6 (PBE-GGA, optimized geometry)
# Spin magnetization = 0.002 μB per cell
# Fermi-level density of states = 13.9 states/eV per cell
# Formation energy from raw total energies = -1946 meV/atom
# VASP energy = -0.506 Ry per atom
# V = 9.363 Å³ per atom
data_MgB2AsO6
_symmetry_space_group_name_H-M 'C 1 2/c 1'
_symmetry_Int_Tables_number 15
_cell_length_a 9.445
_cell_length_b 8.429
_cell_length_c 5.068
_cell_angle_alpha 90.00
_cell_angle_beta 111.86
_cell_angle_gamma 90.00
loop_
_symmetry_equiv_pos_as_xyz
'x,y,z'
'-x,-y,-z'
'-x,y,-z+1/2'
'x,-y,z+1/2'
'x+1/2,y+1/2,z'
'-x+1/2,-y+1/2,-z'
'-x+1/2,y+1/2,-z+1/2'
'x+1/2,-y+1/2,z+1/2'
loop_
_atom_site_label
_atom_site_type_symbol
_atom_site_fract_x
_atom_site_fract_y
_atom_site_fract_z
_atom_site_occupancy
Mg1 Mg 0.000 0.101 0.250 1
B1 B 0.211 0.417 0.191 1
As1 As 0.000 0.283 0.750 1
O1 O 0.120 0.103 0.675 1
O2 O 0.122 0.272 0.151 1
O3 O 0.167 0.470 0.876 1